Entry 1:
The following is a DFT calculation (PBE) of a relaxed PuThTeAu crystal.

Results
The energy relative to the elements, uncorrected comes out at -0.604 eV per atom.

Structure (extended XYZ):
```
4
Lattice="0.000 3.761 3.761 3.761 0.000 3.761 3.761 3.761 0.000" Properties=species:S:1:pos:R:3 pbc="T T T"
Pu 0.000 0.000 0.000
Th 3.761 3.761 3.761
Te 1.881 1.881 1.881
Au 5.642 5.642 5.642
```

***

Entry 2:
The following is a DFT calculation (PBE) of a relaxed GdPaGa4 crystal.

Results
The value obtained for the energy of formation is -2.2 eV per formula unit.

Structure (extended XYZ):
```
6
Lattice="0.000 3.912 3.912 3.912 0.000 3.912 3.912 3.912 0.000" Properties=species:S:1:pos:R:3 pbc="T T T"
Gd 0.000 0.000 0.000
Pa 1.956 1.956 1.956
Ga 4.885 2.938 2.938
Ga 2.938 4.885 2.938
Ga 2.938 2.938 4.885
Ga 4.885 4.885 4.885
```

***

Entry 3:
The following is a DFT calculation (PBE) of a relaxed Y4B6Rh7 crystal.

Results
The value obtained for the energy of formation is -7.9 eV per formula unit.

Structure (extended XYZ):
```
17
Lattice="-3.997 3.997 3.997 3.997 -3.997 3.997 3.997 3.997 -3.997" Properties=species:S:1:pos:R:3 pbc="T T T"
Y 1.998 1.998 -1.998
Y 1.998 -1.998 1.998
Y -1.998 1.998 1.998
Y 1.998 1.998 1.998
B 3.015 0.000 0.000
B 4.978 0.000 0.000
B 0.000 3.015 0.000
B 0.000 0.000 3.015
B 0.000 4.978 0.000
B 0.000 0.000 4.978
Rh 0.000 0.000 0.000
Rh 3.997 1.998 0.000
Rh 3.997 0.000 1.998
Rh 1.998 3.997 0.000
Rh 1.998 0.000 3.997
Rh 0.000 3.997 1.998
Rh 0.000 1.998 3.997
```

***

Entry 4:
The following is a DFT calculation (PBE) of a relaxed Sm5Y4In crystal.

Results
The value obtained for the energy of formation is -0.4 eV per formula unit. The excess energy over the best structure of this formula in the dataset is 0 meV/atom.

Structure (extended XYZ):
```
10
Lattice="8.656 -1.780 0.000 8.656 1.780 0.000 -3.432 0.000 10.537" Properties=species:S:1:pos:R:3 pbc="T T T"
Sm 0.000 0.000 0.000
Sm 3.533 0.000 4.004
Sm 2.257 0.000 9.673
Sm 11.623 0.000 0.863
Sm 10.346 0.000 6.532
Y -0.849 0.000 8.316
Y 4.964 0.000 7.281
Y 8.915 0.000 3.256
Y 14.728 0.000 2.221
In -1.716 0.000 5.268
```

***

Entry 5:
The following is a DFT calculation (PBE) of a relaxed EuLuGaNi crystal.

Results
The value obtained for the energy of formation is -1.2 eV per formula unit.

Structure (extended XYZ):
```
4
Lattice="0.000 3.511 3.511 3.511 0.000 3.511 3.511 3.511 0.000" Properties=species:S:1:pos:R:3 pbc="T T T"
Eu 0.000 0.000 0.000
Lu 3.511 3.511 3.511
Ga 5.267 5.267 5.267
Ni 1.756 1.756 1.756
```

***

Entry 6:
The following is a DFT calculation (PBE) of a relaxed PmY4Ho7 crystal.

Results
The value obtained for the energy of formation is 0.0 eV per formula unit.

Structure (extended XYZ):
```
12
Lattice="6.202 0.000 0.000 -0.003 7.160 0.000 -2.066 -0.003 8.572" Properties=species:S:1:pos:R:3 pbc="T T T"
Pm 0.000 0.000 0.000
Y 0.000 3.579 5.711
Y 1.043 1.788 2.873
Y 3.091 5.369 5.700
Y 4.134 3.578 2.861
Ho -0.001 3.580 0.000
Ho -0.001 -0.002 5.708
Ho 1.026 5.371 2.865
Ho 3.092 5.373 0.009
Ho 1.042 1.784 8.563
Ho 3.108 1.786 5.707
Ho 4.135 7.159 2.864
```

***

Entry 7:
The following is a DFT calculation (PBE) of a relaxed Li5BeSeO2 crystal.

Results
The energy relative to the elements, uncorrected comes out at -1.533 eV per atom.

Structure (extended XYZ):
```
9
Lattice="4.023 0.000 0.000 0.000 4.023 0.000 0.000 0.000 7.180" Properties=species:S:1:pos:R:3 pbc="T T T"
Li 0.000 0.000 0.000
Li 0.000 2.011 1.789
Li 0.000 2.011 5.391
Li 2.011 0.000 1.789
Li 2.011 0.000 5.391
Be 0.000 0.000 3.590
Se 2.011 2.011 0.000
O 0.000 0.000 2.110
O 0.000 0.000 5.070
```

***

Entry 8:
The following is a DFT calculation (PBE) of a relaxed Th6Ir2RuRh3 crystal.

Results
The value obtained for the energy of formation is -10.1 eV per formula unit.

Structure (extended XYZ):
```
12
Lattice="8.944 -2.050 0.000 8.944 2.050 0.000 -1.882 0.000 8.003" Properties=species:S:1:pos:R:3 pbc="T T T"
Th -0.458 0.000 1.960
Th 16.463 0.000 6.043
Th 5.179 0.000 3.347
Th 4.283 0.000 7.339
Th 11.722 0.000 0.664
Th 10.826 0.000 4.656
Ir 2.360 0.000 2.672
Ir 13.645 0.000 5.331
Ru 8.944 0.000 0.000
Rh 1.446 0.000 6.669
Rh 8.003 0.000 4.001
Rh 14.560 0.000 1.334
```

***

Entry 9:
The following is a DFT calculation (PBE) of a relaxed MnSbRu2 crystal.

Results
The energy relative to the elements, uncorrected comes out at 0.436 eV per atom.

Structure (extended XYZ):
```
4
Lattice="1.486 0.858 8.471 -1.486 0.858 8.471 0.000 -1.716 8.471" Properties=species:S:1:pos:R:3 pbc="T T T"
Mn 0.000 0.000 0.000
Sb 0.000 0.000 6.180
Ru 0.000 0.000 12.499
Ru 0.000 0.000 18.894
```

***

Entry 10:
The following is a DFT calculation (PBE) of a relaxed RbBaAg10 crystal.

Results
The value obtained for the energy of formation is -0.7 eV per formula unit.

Structure (extended XYZ):
```
12
Lattice="4.602 0.000 0.000 0.000 5.907 0.000 0.000 0.000 10.399" Properties=species:S:1:pos:R:3 pbc="T T T"
Rb 0.000 0.000 0.000
Ba 0.000 2.953 5.200
Ag 0.000 0.000 3.454
Ag 0.000 0.000 6.945
Ag 0.000 2.953 1.732
Ag 0.000 2.953 8.668
Ag 2.301 0.000 5.200
Ag 2.301 1.504 2.649
Ag 2.301 1.504 7.751
Ag 2.301 2.953 0.000
Ag 2.301 4.402 2.649
Ag 2.301 4.402 7.751
```

***

Entry 11:
The following is a DFT calculation (PBE) of a relaxed BaMg2PdPb crystal.

Results
The value obtained for the energy of formation is -1.8 eV per formula unit.

Structure (extended XYZ):
```
5
Lattice="5.177 0.000 0.000 0.000 5.177 0.000 0.000 0.000 5.416" Properties=species:S:1:pos:R:3 pbc="T T T"
Ba 0.000 0.000 0.000
Mg 0.000 2.588 2.708
Mg 2.588 0.000 2.708
Pd 2.588 2.588 2.708
Pb 2.588 2.588 0.000
```

***

Entry 12:
The following is a DFT calculation (PBE) of a relaxed SbMo3Ir crystal.

Results
The excess energy over the best structure of this formula in the dataset is 0 meV/atom. The energy relative to the elements, uncorrected comes out at 1.401 eV per atom.

Structure (extended XYZ):
```
5
Lattice="4.796 0.000 0.000 0.000 4.796 0.000 0.000 0.000 4.796" Properties=species:S:1:pos:R:3 pbc="T T T"
Sb 0.000 0.000 0.000
Mo 0.000 2.398 2.398
Mo 2.398 0.000 2.398
Mo 2.398 2.398 0.000
Ir 2.398 2.398 2.398
```

***

| no. | total moment (μB/atom) |
| --- | --- |
| 1 | 1.779 |
| 2 | 1.092 |
| 3 | 0.000 |
| 4 | 0.000 |
| 5 | 1.717 |
| 6 | 0.000 |
| 7 | 0.005 |
| 8 | 0.000 |
| 9 | 0.811 |
| 10 | 0.000 |
| 11 | 0.000 |
| 12 | 0.479 |